(1)
Density functional theory data (PBE-GGA) for a geometry-optimized CaCrRh structure.

Computed properties:
The energy relative to the elements comes out at 0.3709 eV per atom. The calculation puts the magnetization at 1.265 μB per atom. The calculation puts the calculated volume at 264 Å³ per cell. As for the density of states at the Fermi level: 1.8236 states/eV/atom. Its crystal system is cubic. Its energy above the most stable polymorph in this dataset is 0.240 eV per atom.

Cell: 6.416 6.416 6.416 Å, 90.00 90.00 90.00°
Space group F-43m (No. 216)
Inequivalent atoms, fractional coordinates:
1 Ca 0.000 0.000 0.000 [4 per cell]
2 Cr 0.000 0.000 0.500 [4 per cell]
3 Rh 0.250 0.250 0.250 [4 per cell]

---

(2)
Density functional theory data (PBE-GGA) for a geometry-optimized PaCoS structure.

Computed properties:
The calculation puts the magnetization at 0.000 μB per atom. The calculation puts the calculated volume at 48 Å³ per cell. As for the density of states at the Fermi level: 0.3872 states/eV/atom. Its crystal system is hexagonal. Its energy above the most stable polymorph in this dataset is 0.000 eV per atom.

Cell: 3.8229 3.8229 3.8162 Å, 90.00 90.00 120.00°
Space group P-6m2 (No. 187)
Inequivalent atoms, fractional coordinates:
1 Pa 0.0000 0.0000 0.0000 [1 per cell]
2 Co 0.3333 0.6667 0.5000 [1 per cell]
3 S 0.6667 0.3333 0.5000 [1 per cell]

---

(3)
Density functional theory data (PBE-GGA) for a geometry-optimized MoSeBr2 structure.

Computed properties:
The calculation puts the magnetization at 0.000 μB per atom. The calculation puts the calculated volume at 277 Å³ per cell. As for the density of states at the Fermi level: 0.8426 states/eV/atom. Its crystal system is trigonal. Its energy above the most stable polymorph in this dataset is 0.513 eV per atom.

Cell: 3.2307 3.2307 30.6478 Å, 90.00 90.00 120.00°
Space group R-3m (No. 166, hexagonal axes)
Inequivalent atoms, fractional coordinates:
1 Mo 0.0000 0.0000 0.0000 [3 per cell]
2 Se 0.0000 0.0000 0.5000 [3 per cell]
3 Br 0.0000 0.0000 0.2736 [6 per cell]

---

(4)
Density functional theory data (PBE-GGA) for a geometry-optimized PmAg2F8 structure.

Computed properties:
The calculation puts the magnetization at 0.095 μB per atom. The calculation puts the calculated volume at 356 Å³ per cell. As for the density of states at the Fermi level: 0.5220 states/eV/atom. Its crystal system is tetragonal. Its energy above the most stable polymorph in this dataset is 0.000 eV per atom.

Cell: 5.713 5.713 10.908 Å, 90.00 90.00 90.00°
Space group I422 (No. 97)
Inequivalent atoms, fractional coordinates:
1 Pm 0.000 0.000 0.000 [2 per cell]
2 Ag 0.000 0.500 0.250 [4 per cell]
3 F 0.166 0.301 0.879 [16 per cell]

---

(5)
Density functional theory data (PBE-GGA) for a geometry-optimized TaPtRh structure.

Computed properties:
The energy relative to the elements comes out at -0.6220 eV per atom. The calculation puts the magnetization at 0.000 μB per atom. The calculation puts the calculated volume at 95 Å³ per cell. As for the density of states at the Fermi level: 0.6803 states/eV/atom. Its crystal system is orthorhombic. Its energy above the most stable polymorph in this dataset is 0.000 eV per atom.

Cell: 2.869 3.830 8.617 Å, 90.00 90.00 90.00°
Space group Imm2 (No. 44)
Inequivalent atoms, fractional coordinates:
1 Ta 0.000 0.000 0.000 [2 per cell]
2 Pt 0.000 0.000 0.669 [2 per cell]
3 Rh 0.000 0.000 0.342 [2 per cell]

---

(6)
Density functional theory data (PBE-GGA) for a geometry-optimized Ho2CoNi3P4 structure.

Computed properties:
The energy relative to the elements comes out at -0.9714 eV per atom. The calculation puts the magnetization at 0.079 μB per atom. The calculation puts the calculated volume at 142 Å³ per cell. As for the density of states at the Fermi level: 0.5038 states/eV/atom. Its crystal system is tetragonal.

Cell: 3.946 3.946 9.118 Å, 90.00 90.00 90.00°
Space group P-4m2 (No. 115)
Inequivalent atoms, fractional coordinates:
1 Ho 0.000 0.500 0.248 [2 per cell]
2 Co 0.000 0.000 0.500 [1 per cell]
3 Ni 0.000 0.500 0.880 [2 per cell]
4 Ni 0.500 0.500 0.500 [1 per cell]
5 P 0.000 0.000 0.000 [1 per cell]
6 P 0.000 0.500 0.631 [2 per cell]
7 P 0.500 0.500 0.000 [1 per cell]

---

(7)
Density functional theory data (PBE-GGA) for a geometry-optimized AcZn4Ag2 structure.

Computed properties:
The energy relative to the elements comes out at 0.0918 eV per atom. The calculation puts the magnetization at 0.000 μB per atom. The calculation puts the calculated volume at 344 Å³ per cell. As for the density of states at the Fermi level: 0.6253 states/eV/atom. Its crystal system is tetragonal. Its energy above the most stable polymorph in this dataset is 0.286 eV per atom.

Cell: 7.604 7.604 5.952 Å, 90.00 90.00 90.00°
Space group I4/mmm (No. 139)
Inequivalent atoms, fractional coordinates:
1 Ac 0.000 0.000 0.000 [2 per cell]
2 Zn 0.000 0.231 0.500 [8 per cell]
3 Ag 0.000 0.500 0.250 [4 per cell]

---

(8)
Density functional theory data (PBE-GGA) for a geometry-optimized CaAsIrSe2 structure.

Computed properties:
The calculation puts the magnetization at 0.000 μB per atom. The calculation puts the calculated volume at 126 Å³ per cell. As for the density of states at the Fermi level: 0.7808 states/eV/atom. Its crystal system is tetragonal. Its energy above the most stable polymorph in this dataset is 0.000 eV per atom.

Cell: 5.263 5.263 4.531 Å, 90.00 90.00 90.00°
Space group P4/mmm (No. 123)
Inequivalent atoms, fractional coordinates:
1 Ca 0.000 0.000 0.000 [1 per cell]
2 As 0.500 0.500 0.000 [1 per cell]
3 Ir 0.500 0.500 0.500 [1 per cell]
4 Se 0.000 0.500 0.500 [2 per cell]

---

(9)
Density functional theory data (PBE-GGA) for a geometry-optimized AcPm6Sm structure.

Computed properties:
The energy relative to the elements comes out at 0.0253 eV per atom. The calculation puts the magnetization at 0.000 μB per atom. The calculation puts the calculated volume at 283 Å³ per cell. As for the density of states at the Fermi level: 1.6104 states/eV/atom. Its crystal system is tetragonal.

Cell: 5.210 5.210 10.436 Å, 90.00 90.00 90.00°
Space group P4/mmm (No. 123)
Inequivalent atoms, fractional coordinates:
1 Ac 0.000 0.000 0.000 [1 per cell]
2 Pm 0.000 0.500 0.256 [4 per cell]
3 Pm 0.500 0.500 0.000 [1 per cell]
4 Pm 0.500 0.500 0.500 [1 per cell]
5 Sm 0.000 0.000 0.500 [1 per cell]

---

(10)
Density functional theory data (PBE-GGA) for a geometry-optimized GeBTe2F structure.

Computed properties:
The calculation puts the magnetization at 0.000 μB per atom. The calculation puts the calculated volume at 94 Å³ per cell. As for the density of states at the Fermi level: 0.5665 states/eV/atom. Its crystal system is tetragonal. Its total energy is -0.2813 Ry per atom.

Cell: 4.963 4.963 3.799 Å, 90.00 90.00 90.00°
Space group P4/mmm (No. 123)
Inequivalent atoms, fractional coordinates:
1 Ge 0.000 0.000 0.000 [1 per cell]
2 B 0.500 0.500 0.500 [1 per cell]
3 Te 0.000 0.500 0.500 [2 per cell]
4 F 0.500 0.500 0.000 [1 per cell]

---

(11)
Density functional theory data (PBE-GGA) for a geometry-optimized LaPmHo2 structure.

Computed properties:
The energy relative to the elements comes out at 0.0281 eV per atom. The calculation puts the magnetization at 0.000 μB per atom. The calculation puts the calculated volume at 268 Å³ per cell. As for the density of states at the Fermi level: 1.7255 states/eV/atom. Its crystal system is monoclinic. Its energy above the most stable polymorph in this dataset is 0.014 eV per atom.

Cell: 8.577 3.650 8.581 Å, 90.00 94.43 90.00°
Space group P2_1/m (No. 11)
Inequivalent atoms, fractional coordinates:
1 La 0.165 0.250 0.086 [2 per cell]
2 Pm 0.336 0.750 0.418 [2 per cell]
3 Ho 0.085 0.250 0.664 [2 per cell]
4 Ho 0.418 0.750 0.831 [2 per cell]

---

(12)
Density functional theory data (PBE-GGA) for a geometry-optimized AcDyOs structure.

Computed properties:
The energy relative to the elements comes out at 0.2925 eV per atom. The calculation puts the magnetization at 0.000 μB per atom. The calculation puts the calculated volume at 390 Å³ per cell. As for the density of states at the Fermi level: 0.7394 states/eV/atom. Its crystal system is orthorhombic. Its energy above the most stable polymorph in this dataset is 0.355 eV per atom.

Cell: 4.903 4.976 15.999 Å, 90.00 90.00 90.00°
Space group Immm (No. 71)
Inequivalent atoms, fractional coordinates:
1 Ac 0.000 0.000 0.106 [4 per cell]
2 Dy 0.000 0.000 0.335 [4 per cell]
3 Os 0.250 0.000 0.500 [4 per cell]

---

(13)
Density functional theory data (PBE-GGA) for a geometry-optimized TeSeBr2 structure.

Computed properties:
The calculation puts the magnetization at 0.000 μB per atom. The calculation puts the calculated volume at 228 Å³ per cell. As for the density of states at the Fermi level: 0.8099 states/eV/atom. Its crystal system is orthorhombic. Its energy above the most stable polymorph in this dataset is 0.483 eV per atom.

Cell: 3.726 6.938 8.811 Å, 90.00 90.00 90.00°
Space group Immm (No. 71)
Inequivalent atoms, fractional coordinates:
1 Te 0.000 0.000 0.000 [2 per cell]
2 Se 0.000 0.000 0.500 [2 per cell]
3 Br 0.000 0.500 0.243 [4 per cell]